# NdSmSbCl2 PBE relaxed
data_NdSmSbCl2
_chemical_formula_sum 'Nd1 Sm1 Sb1 Cl2'
_cell_length_a 4.2853
_cell_length_b 4.2853
_cell_length_c 10.7238
_cell_angle_alpha 90.00
_cell_angle_beta 90.00
_cell_angle_gamma 120.00
_space_group_name_H-M_alt 'P 3 m 1'
_space_group_IT_number 156
_space_group_name_Hall 'P 3 -2"'
loop_
_atom_site_label
_atom_site_type_symbol
_atom_site_fract_x
_atom_site_fract_y
_atom_site_fract_z
Nd1 Nd 0.0000 0.0000 0.0000
Sm1 Sm 0.6667 0.3333 0.6609
Sb1 Sb 0.3333 0.6667 0.8277
Cl1 Cl 0.0000 0.0000 0.5178
Cl2 Cl 0.6667 0.3333 0.1469
# E	-5.1439	eV per atom